{"formula": "MnTlBi2F", "functional": "GGA+U", "state": "optimized geometry", "density_g_cm3": 8.65, "total_energy_ev_per_fu": -20.32, "cell": [[5.0626, 0.0000, 0.0000], [0.0000, 5.0626, 0.0000], [0.0000, 0.0000, 5.2138]], "species": ["Mn", "Tl", "Bi", "Bi", "F"], "frac_coords": [[0.0000, 0.0000, 0.0000], [0.5000, 0.5000, 0.0000], [0.0000, 0.5000, 0.5000], [0.5000, 0.0000, 0.5000], [0.5000, 0.5000, 0.5000]]}